15
Lattice="5.443 0.000 0.000 0.000 6.512 0.000 -0.340 0.000 6.641" Properties=species:S:1:pos:R:3 comment="LiTiV2CrO10 | the Alexandria database | GGA+U | relaxed" density_g_cm3=2.6 e_above_lowest_polymorph_ev_per_atom=0.047 pbc="T T T"
Li 0.000 0.000 0.000
Ti 2.982 0.000 1.227
V 2.382 0.000 4.639
V 3.682 3.256 1.155
Cr 2.926 3.256 4.491
O 1.540 0.000 6.416
O 2.073 3.256 1.033
O 1.930 1.934 4.525
O 1.930 4.578 4.525
O 2.079 0.000 2.743
O 3.889 3.256 3.103
O 3.906 3.256 5.842
O 4.169 1.468 1.096
O 4.169 5.044 1.096
O 3.998 0.000 4.989